An optimized crystal structure of Ac2CoBiO6, computed with PBE+U.

a b c (Å): 5.2307 5.6867 5.6867
angles (deg): 90.00 90.00 90.00
Last column: magnetic moment on the atom in μB.
Positions (direct):
Ac 0.0055 0.5000 0.0000  0.01
Ac 0.0055 0.0000 0.5000  0.01
Co 0.5831 0.0000 0.0000  2.99
Bi 0.5681 0.5000 0.5000  0.04
O 0.7288 0.2336 0.2336  0.10
O 0.7288 0.2336 0.7664  0.10
O 0.1303 0.5000 0.5000  0.04
O 0.2391 0.0000 0.0000  0.32
O 0.7288 0.7664 0.7664  0.10
O 0.7288 0.7664 0.2336  0.10

Calculated values
The total magnetization is 0.399 μB per atom. The density is 8029 kg/m3. As for the final energy: -68.1 eV for the cell shown.